! IBr2F (PBE-GGA, relaxed); values from VASP
! **Space-group type**: I-42d, No. 122
! **Energy relative to the lowest polymorph listed for this composition**: 181 kJ/mol of formula units
! **Formation energy from raw total energies**: 16.93 kJ/mol of atoms
! **Calculated total energy**: -1.5163 eV per atom
&SYSTEM
  ibrav = 0, nat = 8, ntyp = 3
/
ATOMIC_SPECIES
I 126.90 I.upf
Br 79.90 Br.upf
F 19.00 F.upf
CELL_PARAMETERS angstrom
-2.470 2.470 9.180
2.470 -2.470 9.180
2.470 2.470 -9.180
ATOMIC_POSITIONS crystal
I 0.000 0.000 0.000
I 0.750 0.250 0.500
Br 0.112 0.625 0.987
Br 0.375 0.362 0.487
Br 0.638 0.125 0.013
Br 0.875 0.888 0.513
F 0.250 0.750 0.500
F 0.500 0.500 0.000